[1]
SrNbHg2Te | GGA-PBE | relaxed

Values from the calculation:
**Calculated density**: 5.5 g/cm³
**Total DFT energy (no corrections)**: -2.204 eV per atom
**Density of states at the Fermi level**: 0.75 states/eV/atom

a b c (Å): 5.922 6.070 5.922
angles (deg): 90.00 90.00 90.00
Site moments in Bohr magnetons follow the coordinates.
Fractional coordinates of all 5 atoms:
Nb: 0.500 0.500 0.500  3.07
Te: 0.000 0.500 0.000  -0.05
Sr: 0.000 0.000 0.000  0.01
Hg: 0.500 0.000 0.000  0.04
Hg: 0.000 0.000 0.500  0.03

[2]
SrNbZn2Hg | GGA-PBE | relaxed

Values from the calculation:
**Calculated density**: 6.1 g/cm³
**Formation energy from the elements**: 0.332 eV/atom
**Density of states at the Fermi level**: 1.46 states/eV/atom

a b c (Å): 5.101 5.385 5.101
angles (deg): 90.00 90.00 90.00
Fractional coordinates of all 5 atoms:
Sr: 0.500 0.500 0.500
Zn: 0.000 0.000 0.500
Zn: 0.500 0.000 0.000
Nb: 0.000 0.000 0.000
Hg: 0.000 0.500 0.000

[3]
Sr2ZrNbHg | GGA-PBE | relaxed

Values from the calculation:
**Calculated density**: 4.9 g/cm³
**Formation energy from the elements**: 1.107 eV/atom
**Density of states at the Fermi level**: 1.75 states/eV/atom

a b c (Å): 5.938 5.370 5.938
angles (deg): 90.00 90.00 90.00
Site moments in Bohr magnetons follow the coordinates.
Fractional coordinates of all 5 atoms:
Nb: 0.000 0.500 0.000  1.95
Zr: 0.500 0.500 0.500  1.33
Hg: 0.000 0.000 0.000  0.05
Sr: 0.500 0.000 0.000  0.05
Sr: 0.000 0.000 0.500  0.04

[4]
Ta2NbHg | GGA-PBE | relaxed

Values from the calculation:
**Calculated density**: 14.4 g/cm³
**Formation energy from the elements**: 0.147 eV/atom
**Density of states at the Fermi level**: 0.73 states/eV/atom

a b c (Å): 3.421 3.421 6.450
angles (deg): 90.00 90.00 90.00
Fractional coordinates of all 4 atoms:
Ta: 0.000 0.000 0.772
Ta: 0.000 0.000 0.228
Hg: 0.500 0.500 0.500
Nb: 0.500 0.500 0.000

[5]
Ta2NbHg | GGA-PBE | relaxed

Values from the calculation:
**Calculated density**: 13.4 g/cm³
**Formation energy from the elements**: 0.730 eV/atom
**Density of states at the Fermi level**: 0.97 states/eV/atom

a b c (Å): 4.009 4.009 10.501
angles (deg): 79.00 79.00 90.00
Fractional coordinates of all 8 atoms:
Ta: 0.375 0.383 0.750
Ta: 0.875 0.867 0.750
Ta: 0.617 0.125 0.250
Ta: 0.133 0.625 0.250
Nb: 0.250 0.750 0.500
Nb: 0.500 0.500 0.000
Hg: 0.750 0.250 0.500
Hg: 0.000 0.000 0.000

[6]
TaNbHg2 | GGA-PBE | relaxed

Values from the calculation:
**Calculated density**: 14.5 g/cm³
**Formation energy from the elements**: 0.548 eV/atom
**Density of states at the Fermi level**: 1.30 states/eV/atom

a b c (Å): 4.782 4.782 4.782
angles (deg): 60.00 60.00 60.00
Fractional coordinates of all 4 atoms:
Hg: 0.750 0.750 0.750
Hg: 0.250 0.250 0.250
Nb: 0.000 0.000 0.000
Ta: 0.500 0.500 0.500

[7]
TaNb3Hg | GGA-PBE | relaxed

Values from the calculation:
**Calculated density**: 9.3 g/cm³
**Formation energy from the elements**: 1.362 eV/atom
**Density of states at the Fermi level**: 1.18 states/eV/atom

a b c (Å): 4.908 4.908 4.908
angles (deg): 90.00 90.00 90.00
Fractional coordinates of all 5 atoms:
Hg: 0.500 0.500 0.500
Ta: 0.000 0.000 0.000
Nb: 0.000 0.000 0.500
Nb: 0.500 0.000 0.000
Nb: 0.000 0.500 0.000

[8]
TaNbHg2 | GGA-PBE | relaxed

Values from the calculation:
**Calculated density**: 13.3 g/cm³
**Formation energy from the elements**: 0.746 eV/atom
**Density of states at the Fermi level**: 0.40 states/eV/atom

a b c (Å): 7.678 7.678 6.133
angles (deg): 51.25 51.25 90.00
Fractional coordinates of all 8 atoms:
Hg: 0.875 0.878 0.750
Hg: 0.628 0.125 0.250
Hg: 0.375 0.372 0.750
Hg: 0.122 0.625 0.250
Nb: 0.500 0.500 0.000
Nb: 0.250 0.750 0.500
Ta: 0.000 0.000 0.000
Ta: 0.750 0.250 0.500

[9]
TaNb2Hg2 | GGA-PBE | relaxed

Values from the calculation:
**Calculated density**: 11.8 g/cm³
**Formation energy from the elements**: 0.696 eV/atom
**Density of states at the Fermi level**: 1.42 states/eV/atom

a b c (Å): 3.904 3.904 7.610
angles (deg): 75.14 75.14 90.00
Fractional coordinates of all 5 atoms:
Nb: 0.586 0.586 0.829
Nb: 0.414 0.414 0.171
Ta: 0.000 0.000 0.000
Hg: 0.250 0.750 0.500
Hg: 0.750 0.250 0.500

[10]
TaNb3Hg | GGA-PBE | relaxed

Values from the calculation:
**Calculated density**: 8.9 g/cm³
**Formation energy from the elements**: 2.130 eV/atom
**Density of states at the Fermi level**: 1.63 states/eV/atom

a b c (Å): 4.974 4.974 4.974
angles (deg): 90.00 90.00 90.00
Fractional coordinates of all 5 atoms:
Ta: 0.500 0.500 0.500
Hg: 0.000 0.000 0.000
Nb: 0.500 0.000 0.000
Nb: 0.000 0.500 0.000
Nb: 0.000 0.000 0.500

[11]
TaNb2Hg2 | GGA-PBE | relaxed

Values from the calculation:
**Calculated density**: 12.8 g/cm³
**Formation energy from the elements**: 0.628 eV/atom
**Density of states at the Fermi level**: 0.99 states/eV/atom

a b c (Å): 8.116 8.116 3.031
angles (deg): 90.00 90.00 90.00
Fractional coordinates of all 10 atoms:
Hg: 0.324 0.176 0.500
Hg: 0.176 0.676 0.500
Hg: 0.676 0.824 0.500
Hg: 0.824 0.324 0.500
Ta: 0.000 0.000 0.000
Ta: 0.500 0.500 0.000
Nb: 0.379 0.879 0.000
Nb: 0.121 0.379 0.000
Nb: 0.621 0.121 0.000
Nb: 0.879 0.621 0.000

[12]
Tb2NbHg | GGA-PBE | relaxed

Values from the calculation:
**Calculated density**: 9.9 g/cm³
**Formation energy from the elements**: 0.432 eV/atom
**Density of states at the Fermi level**: 1.59 states/eV/atom

a b c (Å): 3.238 3.238 11.423
angles (deg): 81.85 81.85 60.00
Site moments in Bohr magnetons follow the coordinates.
Fractional coordinates of all 4 atoms:
Hg: 0.500 0.500 0.500  0.00
Tb: 0.087 0.087 0.739  0.05
Tb: 0.913 0.913 0.261  0.05
Nb: 0.000 0.000 0.000  0.38

[13]
NbTcHg2 | GGA-PBE | relaxed

Values from the calculation:
**Calculated density**: 13.4 g/cm³
**Formation energy from the elements**: 0.591 eV/atom
**Density of states at the Fermi level**: 0.72 states/eV/atom

a b c (Å): 4.698 4.698 4.698
angles (deg): 60.00 60.00 60.00
Site moments in Bohr magnetons follow the coordinates.
Fractional coordinates of all 4 atoms:
Nb: 0.000 0.000 0.000  -0.12
Hg: 0.750 0.750 0.750  0.01
Hg: 0.250 0.250 0.250  0.01
Tc: 0.500 0.500 0.500  0.87

[14]
NbTcHg2 | GGA-PBE | relaxed

Values from the calculation:
**Calculated density**: 12.1 g/cm³
**Formation energy from the elements**: 0.896 eV/atom
**Density of states at the Fermi level**: 1.04 states/eV/atom

a b c (Å): 7.678 7.678 6.092
angles (deg): 50.94 50.94 90.00
Site moments in Bohr magnetons follow the coordinates.
Fractional coordinates of all 8 atoms:
Hg: 0.634 0.125 0.250  0.00
Hg: 0.875 0.884 0.750  0.01
Hg: 0.116 0.625 0.250  0.01
Hg: 0.375 0.366 0.750  0.00
Nb: 0.250 0.750 0.500  -0.02
Nb: 0.500 0.500 0.000  -0.02
Tc: 0.750 0.250 0.500  1.17
Tc: 0.000 0.000 0.000  1.17

[15]
Nb2TcHg | GGA-PBE | relaxed

Values from the calculation:
**Calculated density**: 10.3 g/cm³
**Formation energy from the elements**: 0.522 eV/atom
**Density of states at the Fermi level**: 1.34 states/eV/atom

a b c (Å): 7.449 7.449 5.968
angles (deg): 51.39 51.39 90.00
Fractional coordinates of all 8 atoms:
Nb: 0.375 0.417 0.750
Nb: 0.167 0.625 0.250
Nb: 0.875 0.833 0.750
Nb: 0.583 0.125 0.250
Hg: 0.000 0.000 0.000
Hg: 0.750 0.250 0.500
Tc: 0.500 0.500 0.000
Tc: 0.250 0.750 0.500

[16]
NbTcHg2W | GGA-PBE | relaxed

Values from the calculation:
**Calculated density**: 10.6 g/cm³
**Formation energy from the elements**: 2.229 eV/atom
**Density of states at the Fermi level**: 1.24 states/eV/atom

a b c (Å): 5.198 4.498 5.198
angles (deg): 90.00 90.00 90.00
Site moments in Bohr magnetons follow the coordinates.
Fractional coordinates of all 5 atoms:
Nb: 0.000 0.000 0.000  -0.04
Hg: 0.000 0.000 0.500  0.02
Hg: 0.500 0.000 0.000  0.01
W: 0.500 0.500 0.500  -0.39
Tc: 0.000 0.500 0.000  0.52

[17]
Nb2HgTe | GGA-PBE | relaxed

Values from the calculation:
**Calculated density**: 9.6 g/cm³
**Total DFT energy (no corrections)**: -5.418 eV per atom
**Density of states at the Fermi level**: 0.52 states/eV/atom

a b c (Å): 4.174 4.174 10.594
angles (deg): 78.64 78.64 90.00
Fractional coordinates of all 8 atoms:
Nb: 0.875 0.891 0.750
Nb: 0.641 0.125 0.250
Nb: 0.375 0.359 0.750
Nb: 0.109 0.625 0.250
Hg: 0.000 0.000 0.000
Hg: 0.750 0.250 0.500
Te: 0.250 0.750 0.500
Te: 0.500 0.500 0.000

[18]
NbHgTe4 | GGA-PBE | relaxed

Values from the calculation:
**Calculated density**: 7.6 g/cm³
**Total DFT energy (no corrections)**: -4.048 eV per atom
**Density of states at the Fermi level**: 0.44 states/eV/atom

a b c (Å): 6.717 7.394 7.417
angles (deg): 100.02 99.63 99.43
Fractional coordinates of all 12 atoms:
Te: 0.477 0.720 0.119
Te: 0.523 0.280 0.881
Te: 0.416 0.865 0.682
Te: 0.917 0.682 0.865
Te: 0.025 0.881 0.278
Te: 0.975 0.119 0.722
Te: 0.083 0.318 0.135
Te: 0.584 0.135 0.318
Nb: 0.750 0.000 0.000
Nb: 0.250 0.000 0.000
Hg: 0.750 0.554 0.447
Hg: 0.250 0.446 0.553

[19]
Nb2HgTe | GGA-PBE | relaxed

Values from the calculation:
**Calculated density**: 10.8 g/cm³
**Total DFT energy (no corrections)**: -5.654 eV per atom
**Density of states at the Fermi level**: 0.80 states/eV/atom

a b c (Å): 4.815 4.815 4.815
angles (deg): 60.00 60.00 60.00
Fractional coordinates of all 4 atoms:
Te: 0.000 0.000 0.000
Nb: 0.750 0.750 0.750
Nb: 0.250 0.250 0.250
Hg: 0.500 0.500 0.500

[20]
YNbHgTe2 | GGA-PBE | relaxed

Values from the calculation:
**Calculated density**: 6.2 g/cm³
**Total DFT energy (no corrections)**: -3.626 eV per atom
**Density of states at the Fermi level**: 0.90 states/eV/atom

a b c (Å): 5.602 5.452 5.602
angles (deg): 90.00 90.00 90.00
Site moments in Bohr magnetons follow the coordinates.
Fractional coordinates of all 5 atoms:
Y: 0.000 0.500 0.000  0.16
Nb: 0.500 0.500 0.500  2.77
Hg: 0.000 0.000 0.000  0.00
Te: 0.500 0.000 0.000  -0.11
Te: 0.000 0.000 0.500  -0.11

[21]
Th2NbHg | GGA-PBE | relaxed

Values from the calculation:
**Calculated density**: 11.6 g/cm³
**Formation energy from the elements**: 0.437 eV/atom
**Density of states at the Fermi level**: 1.26 states/eV/atom

a b c (Å): 3.289 3.289 11.724
angles (deg): 81.94 81.94 60.00
Fractional coordinates of all 4 atoms:
Th: 0.915 0.915 0.254
Th: 0.085 0.085 0.746
Nb: 0.000 0.000 0.000
Hg: 0.500 0.500 0.500

[22]
Th2NbHg | GGA-PBE | relaxed

Values from the calculation:
**Calculated density**: 11.5 g/cm³
**Formation energy from the elements**: 0.053 eV/atom
**Density of states at the Fermi level**: 1.29 states/eV/atom

a b c (Å): 3.664 3.664 8.135
angles (deg): 90.00 90.00 90.00
Fractional coordinates of all 4 atoms:
Th: 0.000 0.000 0.225
Th: 0.000 0.000 0.775
Nb: 0.500 0.500 0.000
Hg: 0.500 0.500 0.500

[23]
ThNbHg | GGA-PBE | relaxed

Values from the calculation:
**Calculated density**: 11.8 g/cm³
**Formation energy from the elements**: 0.095 eV/atom
**Density of states at the Fermi level**: 1.32 states/eV/atom

a b c (Å): 3.477 3.477 13.231
angles (deg): 105.36 105.36 89.98
Fractional coordinates of all 6 atoms:
Th: 0.861 0.861 0.112
Th: 0.139 0.139 0.888
Nb: 0.199 0.199 0.449
Nb: 0.801 0.801 0.551
Hg: 0.452 0.452 0.700
Hg: 0.548 0.548 0.300

[24]
TiNbHg3 | GGA-PBE | relaxed

Values from the calculation:
**Calculated density**: 8.5 g/cm³
**Formation energy from the elements**: 1.235 eV/atom
**Density of states at the Fermi level**: 1.74 states/eV/atom

a b c (Å): 5.259 5.259 5.259
angles (deg): 90.00 90.00 90.00
Fractional coordinates of all 5 atoms:
Hg: 0.000 0.000 0.500
Hg: 0.000 0.500 0.000
Hg: 0.500 0.000 0.000
Ti: 0.500 0.500 0.500
Nb: 0.000 0.000 0.000

[25]
Ti4NbHg | GGA-PBE | relaxed

Values from the calculation:
**Calculated density**: 7.6 g/cm³
**Formation energy from the elements**: 0.121 eV/atom
**Density of states at the Fermi level**: 2.00 states/eV/atom

a b c (Å): 4.594 4.594 5.787
angles (deg): 90.00 90.00 120.00
Fractional coordinates of all 6 atoms:
Hg: 0.000 0.000 0.500
Ti: 0.333 0.667 0.762
Ti: 0.667 0.333 0.762
Ti: 0.333 0.667 0.238
Ti: 0.667 0.333 0.238
Nb: 0.000 0.000 0.000

[26]
Ti5NbHg2 | GGA-PBE | relaxed

Values from the calculation:
**Calculated density**: 8.4 g/cm³
**Formation energy from the elements**: -0.041 eV/atom
**Density of states at the Fermi level**: 1.61 states/eV/atom

a b c (Å): 4.694 4.694 7.344
angles (deg): 108.64 108.64 90.00
Fractional coordinates of all 8 atoms:
Ti: 0.385 0.885 0.771
Ti: 0.500 0.500 0.000
Ti: 0.885 0.385 0.771
Ti: 0.615 0.115 0.229
Ti: 0.115 0.615 0.229
Hg: 0.252 0.252 0.504
Hg: 0.748 0.748 0.496
Nb: 0.000 0.000 0.000

[27]
Ti2NbHg2 | GGA-PBE | relaxed

Values from the calculation:
**Calculated density**: 9.9 g/cm³
**Formation energy from the elements**: -0.005 eV/atom
**Density of states at the Fermi level**: 0.77 states/eV/atom

a b c (Å): 3.279 3.384 9.078
angles (deg): 79.26 90.00 90.00
Fractional coordinates of all 5 atoms:
Hg: 0.000 0.183 0.633
Hg: 0.000 0.817 0.367
Ti: 0.500 0.417 0.166
Ti: 0.500 0.583 0.834
Nb: 0.000 0.000 0.000